BaSrFe4O8 | PBE+U | optimized geometry

```
BaSrFe4O8
1.0
4.158 -9.591 0.000
4.158 9.591 0.000
0.000 0.000 5.493
Ba Sr Fe O
2 2 8 16
direct
0.116 0.884 0.500 Ba
0.884 0.116 0.000 Ba
0.371 0.629 0.974 Sr
0.629 0.371 0.474 Sr
0.004 0.424 0.470 Fe
0.186 0.274 0.491 Fe
0.274 0.186 0.991 Fe
0.424 0.004 0.970 Fe
0.576 0.996 0.470 Fe
0.726 0.814 0.491 Fe
0.814 0.726 0.991 Fe
0.996 0.576 0.970 Fe
0.013 0.424 0.817 O
0.047 0.953 0.986 O
0.176 0.429 0.332 O
0.216 0.784 0.863 O
0.252 0.332 0.826 O
0.332 0.252 0.326 O
0.424 0.013 0.317 O
0.429 0.176 0.832 O
0.571 0.824 0.332 O
0.576 0.987 0.817 O
0.668 0.748 0.826 O
0.748 0.668 0.326 O
0.784 0.216 0.363 O
0.824 0.571 0.832 O
0.953 0.047 0.486 O
0.987 0.576 0.317 O
```

Magnetization in μB/f.u.: 20.0
Calculated total energy in eV per atom: -6.5487
Distance to the lowest polymorph of the same formula in meV/atom: 11